Record 1
! GGA-PBE Lu4InSbC2, relaxed; values from VASP
! energy	-0.442	Ry/atom
&SYSTEM
  ibrav = 0, nat = 8, ntyp = 4
/
ATOMIC_SPECIES
Lu 174.97 Lu.upf
In 114.82 In.upf
Sb 121.76 Sb.upf
C 12.01 C.upf
CELL_PARAMETERS angstrom
3.544 0.000 0.000
-1.772 3.069 0.000
0.000 0.000 15.350
ATOMIC_POSITIONS crystal
Lu 0.000 0.000 0.161
Lu 0.000 0.000 0.839
Lu 0.667 0.333 0.329
Lu 0.667 0.333 0.671
In 0.000 0.000 0.500
Sb 0.667 0.333 0.000
C 0.333 0.667 0.242
C 0.333 0.667 0.758

Record 2
! GGA-PBE RbNiSb, relaxed; values from VASP
! energy	-0.207	Ry/atom
&SYSTEM
  ibrav = 0, nat = 3, ntyp = 3
/
ATOMIC_SPECIES
Rb 85.47 Rb.upf
Ni 58.69 Ni.upf
Sb 121.76 Sb.upf
CELL_PARAMETERS angstrom
0.000 3.678 3.678
3.678 0.000 3.678
3.678 3.678 0.000
ATOMIC_POSITIONS crystal
Rb 0.000 0.000 0.000
Ni 0.500 0.500 0.500
Sb 0.750 0.750 0.750

Record 3
! GGA-PBE LuSiBi2, relaxed; values from VASP
! energy	-0.322	Ry/atom
&SYSTEM
  ibrav = 0, nat = 4, ntyp = 3
/
ATOMIC_SPECIES
Lu 174.97 Lu.upf
Si 28.09 Si.upf
Bi 208.98 Bi.upf
CELL_PARAMETERS angstrom
0.000 3.761 3.761
3.761 0.000 3.761
3.761 3.761 0.000
ATOMIC_POSITIONS crystal
Lu 0.000 0.000 0.000
Si 0.750 0.750 0.750
Bi 0.250 0.250 0.250
Bi 0.500 0.500 0.500

Record 4
! GGA-PBE Li2Cd2GaSiPd2, relaxed; values from VASP
! energy	-0.252	Ry/atom
&SYSTEM
  ibrav = 0, nat = 8, ntyp = 5
/
ATOMIC_SPECIES
Li 6.94 Li.upf
Cd 112.41 Cd.upf
Ga 69.72 Ga.upf
Si 28.09 Si.upf
Pd 106.42 Pd.upf
CELL_PARAMETERS angstrom
4.473 0.000 0.000
0.000 4.473 0.000
0.000 0.000 6.315
ATOMIC_POSITIONS crystal
Li 0.000 0.500 0.245
Li 0.500 0.000 0.755
Cd 0.000 0.000 0.000
Cd 0.500 0.500 0.500
Ga 0.000 0.000 0.500
Si 0.500 0.500 0.000
Pd 0.000 0.500 0.761
Pd 0.500 0.000 0.239

Record 5
! GGA-PBE ScCuPdPb, relaxed; values from VASP
! relative energy among the computed polymorphs	116	meV per atom
&SYSTEM
  ibrav = 0, nat = 4, ntyp = 4
/
ATOMIC_SPECIES
Sc 44.96 Sc.upf
Cu 63.55 Cu.upf
Pd 106.42 Pd.upf
Pb 207.20 Pb.upf
CELL_PARAMETERS angstrom
0.000 3.327 3.327
3.327 0.000 3.327
3.327 3.327 0.000
ATOMIC_POSITIONS crystal
Sc 0.000 0.000 0.000
Cu 0.500 0.500 0.500
Pd 0.750 0.750 0.750
Pb 0.250 0.250 0.250

Record 6
! GGA-PBE Tm5Ir3, relaxed; values from VASP
! relative energy among the computed polymorphs	36	meV per atom
! formation enthalpy at 0 K	-6.7	eV per formula unit
&SYSTEM
  ibrav = 0, nat = 16, ntyp = 2
/
ATOMIC_SPECIES
Tm 168.93 Tm.upf
Ir 192.22 Ir.upf
CELL_PARAMETERS angstrom
8.232 0.000 0.000
-4.116 7.129 0.000
0.000 0.000 6.096
ATOMIC_POSITIONS crystal
Tm 0.000 0.262 0.250
Tm 0.000 0.738 0.750
Tm 0.262 0.000 0.250
Tm 0.262 0.262 0.750
Tm 0.333 0.667 0.000
Tm 0.333 0.667 0.500
Tm 0.667 0.333 0.000
Tm 0.667 0.333 0.500
Tm 0.738 0.000 0.750
Tm 0.738 0.738 0.250
Ir 0.000 0.389 0.750
Ir 0.000 0.611 0.250
Ir 0.389 0.000 0.750
Ir 0.389 0.389 0.250
Ir 0.611 0.000 0.250
Ir 0.611 0.611 0.750

Record 7
! GGA-PBE SmDyAl2Pd4, relaxed; values from VASP
! energy	-0.413	Ry/atom
&SYSTEM
  ibrav = 0, nat = 8, ntyp = 4
/
ATOMIC_SPECIES
Sm 150.36 Sm.upf
Dy 162.50 Dy.upf
Al 26.98 Al.upf
Pd 106.42 Pd.upf
CELL_PARAMETERS angstrom
4.379 0.000 0.000
-2.189 3.792 0.000
0.000 0.000 9.234
ATOMIC_POSITIONS crystal
Sm 0.000 0.000 0.000
Dy 0.333 0.667 0.500
Al 0.667 0.333 0.256
Al 0.667 0.333 0.744
Pd 0.000 0.000 0.334
Pd 0.000 0.000 0.666
Pd 0.333 0.667 0.181
Pd 0.333 0.667 0.819

Record 8
! GGA-PBE ZrZnCoGe, relaxed; values from VASP
! relative energy among the computed polymorphs	28	meV per atom
&SYSTEM
  ibrav = 0, nat = 4, ntyp = 4
/
ATOMIC_SPECIES
Zr 91.22 Zr.upf
Zn 65.41 Zn.upf
Co 58.93 Co.upf
Ge 72.64 Ge.upf
CELL_PARAMETERS angstrom
0.000 3.136 3.136
3.136 0.000 3.136
3.136 3.136 0.000
ATOMIC_POSITIONS crystal
Zr 0.000 0.000 0.000
Zn 0.750 0.750 0.750
Co 0.500 0.500 0.500
Ge 0.250 0.250 0.250

Record 9
! GGA-PBE ErAgSeO, relaxed; values from VASP
! energy	-0.408	Ry/atom
&SYSTEM
  ibrav = 0, nat = 8, ntyp = 4
/
ATOMIC_SPECIES
Er 167.26 Er.upf
Ag 107.87 Ag.upf
Se 78.96 Se.upf
O 16.00 O.upf
CELL_PARAMETERS angstrom
4.288 0.000 0.000
0.000 6.723 0.000
0.000 0.000 6.360
ATOMIC_POSITIONS crystal
Er 0.000 0.153 0.000
Er 0.000 0.847 0.500
Ag 0.500 0.269 0.586
Ag 0.500 0.731 0.086
Se 0.500 0.343 0.176
Se 0.500 0.657 0.676
O 0.000 0.109 0.674
O 0.000 0.891 0.174

Record 10
! GGA-PBE CdGaAu, relaxed; values from VASP
! energy	-0.189	Ry/atom
&SYSTEM
  ibrav = 0, nat = 9, ntyp = 3
/
ATOMIC_SPECIES
Cd 112.41 Cd.upf
Ga 69.72 Ga.upf
Au 196.97 Au.upf
CELL_PARAMETERS angstrom
7.400 0.000 0.000
-3.700 6.408 0.000
0.000 0.000 3.759
ATOMIC_POSITIONS crystal
Cd 0.000 0.606 0.000
Cd 0.394 0.394 0.000
Cd 0.606 0.000 0.000
Ga 0.000 0.269 0.500
Ga 0.269 0.000 0.500
Ga 0.731 0.731 0.500
Au 0.000 0.000 0.000
Au 0.333 0.667 0.500
Au 0.667 0.333 0.500

Record 11
! GGA-PBE Dy2LuAs3, relaxed; values from VASP
! energy	-0.450	Ry/atom
&SYSTEM
  ibrav = 0, nat = 6, ntyp = 3
/
ATOMIC_SPECIES
Dy 162.50 Dy.upf
Lu 174.97 Lu.upf
As 74.92 As.upf
CELL_PARAMETERS angstrom
4.085 0.000 0.000
-2.042 3.538 0.000
0.000 0.000 9.997
ATOMIC_POSITIONS crystal
Dy 0.333 0.667 0.331
Dy 0.667 0.333 0.669
Lu 0.000 0.000 0.000
As 0.000 0.000 0.500
As 0.333 0.667 0.838
As 0.667 0.333 0.162

Record 12
! GGA-PBE Mg3Cd2Au3, relaxed; values from VASP
! relative energy among the computed polymorphs	82	meV per atom
&SYSTEM
  ibrav = 0, nat = 8, ntyp = 3
/
ATOMIC_SPECIES
Mg 24.30 Mg.upf
Cd 112.41 Cd.upf
Au 196.97 Au.upf
CELL_PARAMETERS angstrom
4.907 0.000 0.000
0.000 3.104 5.017
0.000 -3.104 5.017
ATOMIC_POSITIONS crystal
Mg 0.000 0.000 0.000
Mg 0.500 0.150 0.654
Mg 0.500 0.654 0.150
Cd 0.000 0.505 0.505
Cd 0.500 0.153 0.153
Au 0.000 0.009 0.512
Au 0.000 0.512 0.009
Au 0.500 0.651 0.651